10
Lattice="4.730 0.000 0.000 0.000 5.056 0.000 0.000 -2.528 4.379" Properties=species:S:1:pos:R:3 comment="LiPm2H6Rh, optimized geometry, DFT PBE" e_tot_ev_per_atom=-4.312 space_group=P-3m1 mass_density_g_cm3=6.4 pbc="T T T"
Li 2.365 0.000 0.000
Pm 1.204 0.000 2.919
Pm 3.526 2.528 1.460
H 3.601 0.000 1.458
H 3.601 -1.266 3.650
H 3.601 1.266 3.650
H 1.129 3.794 0.729
H 1.129 1.263 0.729
H 1.129 2.528 2.921
Rh 0.000 0.000 0.000

11
Lattice="-0.288 -3.766 -1.869 5.868 -1.478 2.111 -4.026 -1.950 4.590" Properties=species:S:1:pos:R:3 comment="Li2GaPd8, optimized geometry, DFT PBE" formation_energy_kj_per_mol_atoms=-19.7 e_tot_ev_per_atom=-4.604 de_polymorph_kj_per_mol_fu=136 space_group=C2/m mass_density_g_cm3=9.3 pbc="T T T"
Li 2.117 -1.657 3.051
Li -0.275 -1.771 3.650
Ga -0.144 -1.883 -0.935
Pd 2.550 -6.522 3.323
Pd -0.090 -6.649 3.985
Pd 1.099 -4.187 3.587
Pd -1.662 -3.714 3.027
Pd 3.216 -3.481 1.805
Pd 0.455 -3.007 1.244
Pd 1.644 -0.546 0.847
Pd -0.996 -0.672 1.508

4
Lattice="-2.388 -2.647 -2.423 1.768 -2.014 -3.375 0.861 -4.803 0.566" Properties=species:S:1:pos:R:3 comment="HoCu2Rh, optimized geometry, DFT PBE" formation_energy_kj_per_mol_atoms=-27.1 e_tot_ev_per_atom=-5.312 space_group=R-3m mass_density_g_cm3=9.6 pbc="T T T"
Rh 0.121 -4.732 -2.616
Ho 0.000 0.000 0.000
Cu 0.065 -6.745 -4.196
Cu 0.176 -2.719 -1.037

4
Lattice="3.102 0.000 0.000 0.000 3.100 0.000 0.000 0.000 7.915" Properties=species:S:1:pos:R:3 comment="BaMnIr2, optimized geometry, DFT PBE" formation_energy_kj_per_mol_atoms=23.8 e_tot_ev_per_atom=-6.957 de_polymorph_kj_per_mol_fu=112 space_group=P4/mmm mass_density_g_cm3=12.6 pbc="T T T"
Ba 1.551 1.550 5.936
Ir 0.000 0.000 0.564
Ir 0.000 0.000 3.394
Mn 1.551 1.550 1.979

8
Lattice="-5.496 -3.103 3.395 2.212 -6.422 -2.287 1.954 -5.392 5.801" Properties=species:S:1:pos:R:3 comment="Hg2PbBr, optimized geometry, DFT PBE" e_tot_ev_per_atom=-1.530 de_polymorph_kj_per_mol_fu=68 space_group=I-42d raw_formation_energy_mev_per_atom=-34 mass_density_g_cm3=7.0 pbc="T T T"
Pb 0.000 0.000 0.000
Pb -2.592 -6.628 4.875
Hg -2.739 -4.129 3.329
Hg 1.253 -5.711 0.403
Hg 0.207 -7.535 4.795
Hg -1.380 -12.458 5.292
Br -1.642 -4.762 0.554
Br 1.262 -8.288 2.034

4
Lattice="3.639 0.000 0.000 -1.820 2.889 0.000 0.000 0.000 11.277" Properties=species:S:1:pos:R:3 comment="Sn2BiPb, optimized geometry, DFT PBE" formation_energy_kj_per_mol_atoms=6.9 e_tot_ev_per_atom=-3.828 de_polymorph_kj_per_mol_fu=3 space_group=Cmm2 mass_density_g_cm3=9.2 pbc="T T T"
Sn 0.000 0.000 11.207
Sn 1.820 0.000 8.534
Bi 1.820 0.000 2.748
Pb 0.000 0.000 5.703

11
Lattice="4.044 0.000 0.000 2.022 8.202 -0.154 2.022 3.754 7.295" Properties=species:S:1:pos:R:3 comment="Ho2Th2S7, optimized geometry, DFT PBE" e_tot_ev_per_atom=-6.812 space_group=Imm2 raw_formation_energy_mev_per_atom=-2004 mass_density_g_cm3=6.9 pbc="T T T"
Ho 2.022 7.293 1.368
Ho 4.044 5.242 4.802
Th 6.066 9.475 4.843
Th 2.022 3.200 1.095
S 4.044 1.688 2.180
S 6.066 6.647 6.155
S 4.044 3.812 7.197
S 4.044 5.129 1.985
S 4.044 7.776 3.566
S 4.044 9.235 6.688
S 2.022 3.385 4.207

4
Lattice="0.000 3.100 3.100 3.100 0.000 3.100 3.100 3.100 0.000" Properties=species:S:1:pos:R:3 comment="Tc2AuS, optimized geometry, DFT PBE" e_tot_ev_per_atom=-6.537 de_polymorph_kj_per_mol_fu=0 space_group=Fm-3m raw_formation_energy_mev_per_atom=497 mass_density_g_cm3=11.8 pbc="T T T"
S 0.000 0.000 0.000
Au 3.100 3.100 3.100
Tc 1.550 1.550 1.550
Tc 4.650 4.650 4.650

4
Lattice="4.916 0.005 -0.001 2.324 4.332 0.001 -3.134 -2.980 2.338" Properties=species:S:1:pos:R:3 comment="BeCdNi2, optimized geometry, DFT PBE" formation_energy_kj_per_mol_atoms=7.7 e_tot_ev_per_atom=-3.971 space_group=Imm2 mass_density_g_cm3=8.0 pbc="T T T"
Ni 7.167 4.294 0.000
Ni 2.477 -0.537 1.168
Be 3.779 2.264 0.000
Cd 1.541 1.842 1.170

6
Lattice="-6.128 1.712 -0.069 4.764 -3.960 1.452 0.516 2.000 3.760" Properties=species:S:1:pos:R:3 comment="Cr5In, optimized geometry, DFT PBE" formation_energy_kj_per_mol_atoms=30.1 e_tot_ev_per_atom=-8.164 de_polymorph_kj_per_mol_fu=29 space_group=Cmmm mass_density_g_cm3=7.9 pbc="T T T"
Cr -4.330 0.776 0.182
Cr 2.966 -3.024 1.201
Cr -0.682 -1.124 0.692
Cr 1.565 -1.159 2.849
Cr -2.412 0.912 2.294
In 0.258 1.000 1.880

4
Lattice="-3.620 1.522 -2.555 -1.111 -1.745 4.203 0.279 2.596 1.152" Properties=species:S:1:pos:R:3 comment="BeRu2Au, optimized geometry, DFT PBE" formation_energy_kj_per_mol_atoms=37.7 e_tot_ev_per_atom=-5.998 space_group=Cmmm mass_density_g_cm3=12.0 pbc="T T T"
Ru 0.000 0.000 0.000
Ru -2.366 -0.112 0.824
Au -1.671 2.059 -0.702
Be -0.416 0.425 2.677

16
Lattice="-5.367 2.155 -1.703 -0.672 -5.978 0.403 0.991 2.494 7.425" Properties=species:S:1:pos:R:3 comment="RbZrSiO5, optimized geometry, DFT PBE" e_tot_ev_per_atom=-7.456 space_group=C2/c raw_formation_energy_mev_per_atom=-2490 mass_density_g_cm3=3.8 pbc="T T T"
Rb -1.978 -2.662 1.562
Rb -3.069 1.334 4.563
Zr 0.496 1.247 3.713
Zr 0.000 0.000 0.000
Si -3.679 0.285 0.799
Si -1.369 -1.613 5.326
O -0.688 -4.897 2.141
O -4.359 3.569 3.984
O -4.673 0.489 -0.502
O -0.374 -1.817 6.627
O -3.604 1.673 1.688
O -1.443 -3.001 4.437
O -4.229 -0.993 1.702
O -0.819 -0.334 4.423
O -2.145 -0.144 0.338
O -2.903 -1.184 5.787

Copy entry 1 word for word.
10
Lattice="4.730 0.000 0.000 0.000 5.056 0.000 0.000 -2.528 4.379" Properties=species:S:1:pos:R:3 comment="LiPm2H6Rh, optimized geometry, DFT PBE" e_tot_ev_per_atom=-4.312 space_group=P-3m1 mass_density_g_cm3=6.4 pbc="T T T"
Li 2.365 0.000 0.000
Pm 1.204 0.000 2.919
Pm 3.526 2.528 1.460
H 3.601 0.000 1.458
H 3.601 -1.266 3.650
H 3.601 1.266 3.650
H 1.129 3.794 0.729
H 1.129 1.263 0.729
H 1.129 2.528 2.921
Rh 0.000 0.000 0.000

Please write out number 8 again, unchanged.
4
Lattice="0.000 3.100 3.100 3.100 0.000 3.100 3.100 3.100 0.000" Properties=species:S:1:pos:R:3 comment="Tc2AuS, optimized geometry, DFT PBE" e_tot_ev_per_atom=-6.537 de_polymorph_kj_per_mol_fu=0 space_group=Fm-3m raw_formation_energy_mev_per_atom=497 mass_density_g_cm3=11.8 pbc="T T T"
S 0.000 0.000 0.000
Au 3.100 3.100 3.100
Tc 1.550 1.550 1.550
Tc 4.650 4.650 4.650